# YNiBW | the Open Quantum Materials Database | PBE-GGA | relaxed
data_YNiBW
_cell_length_a 6.2057
_cell_length_b 6.2057
_cell_length_c 6.2057
_cell_angle_alpha 90.00
_cell_angle_beta 90.00
_cell_angle_gamma 90.00
_symmetry_space_group_name_H-M 'F -4 3 m'
_symmetry_Int_Tables_number 216
_symmetry_space_group_name_Hall 'F -4 2 3'
loop_
_atom_site_label
_atom_site_type_symbol
_atom_site_fract_x
_atom_site_fract_y
_atom_site_fract_z
Y1 Y 0.0000 0.0000 0.0000
Ni1 Ni 0.2500 0.2500 0.2500
B1 B 0.2500 0.2500 0.7500
W1 W 0.0000 0.0000 0.5000
# - crystal system = cubic
# - spin magnetization (μB per formula unit) = 1.08
# - calculated total energy (eV/atom) = -7.44

---

# Y3Ni7B2 | the Open Quantum Materials Database | PBE-GGA | relaxed
data_Y3Ni7B2
_cell_length_a 5.1028
_cell_length_b 5.1028
_cell_length_c 14.3317
_cell_angle_alpha 90.00
_cell_angle_beta 90.00
_cell_angle_gamma 120.00
_symmetry_space_group_name_H-M 'P 63/m m c'
_symmetry_Int_Tables_number 194
_symmetry_space_group_name_Hall '-P 6c 2c'
loop_
_atom_site_label
_atom_site_type_symbol
_atom_site_fract_x
_atom_site_fract_y
_atom_site_fract_z
Y1 Y 0.3333 0.6667 0.0316
Y2 Y 0.3333 0.6667 0.2500
Ni1 Ni 0.0000 0.0000 0.0000
Ni2 Ni 0.1655 0.3309 0.6499
B1 B 0.0000 0.0000 0.2500
B2 B 0.3333 0.6667 0.7500
# - crystal system = hexagonal
# - spin magnetization (μB per formula unit) = 0.00
# - calculated total energy (eV/atom) = -6.47

---

# YNi12B6 | the Open Quantum Materials Database | PBE-GGA | relaxed
data_YNi12B6
_cell_length_a 9.5699
_cell_length_b 7.3764
_cell_length_c 10.9971
_cell_angle_alpha 90.00
_cell_angle_beta 90.00
_cell_angle_gamma 90.00
_symmetry_space_group_name_H-M 'C m c 21'
_symmetry_Int_Tables_number 36
loop_
_symmetry_equiv_pos_as_xyz
'x,y,z'
'-x,-y,z+1/2'
'-x,y,z'
'x,-y,z+1/2'
'x+1/2,y+1/2,z'
'-x+1/2,-y+1/2,z+1/2'
'-x+1/2,y+1/2,z'
'x+1/2,-y+1/2,z+1/2'
loop_
_atom_site_label
_atom_site_type_symbol
_atom_site_fract_x
_atom_site_fract_y
_atom_site_fract_z
Y1 Y 0.0000 0.1665 0.0000
Ni1 Ni 0.0000 0.2177 0.3971
Ni2 Ni 0.0000 0.4333 0.5775
Ni3 Ni 0.1307 0.3255 0.7625
Ni4 Ni 0.1310 0.3431 0.2200
Ni5 Ni 0.1319 0.0133 0.2404
Ni6 Ni 0.1830 0.1859 0.5586
Ni7 Ni 0.1937 0.4644 0.4283
B1 B 0.0000 0.1639 0.6571
B2 B 0.0000 0.4869 0.3408
B3 B 0.2064 0.1943 0.3734
B4 B 0.2154 0.4574 0.6112
# - crystal system = orthorhombic
# - relative energy among the computed polymorphs (meV/atom) = 0
# - spin magnetization (μB per formula unit) = 0.00
# - calculated total energy (eV/atom) = -6.36

---

# Y2NiB | the Open Quantum Materials Database | PBE-GGA | relaxed
data_Y2NiB
_cell_length_a 6.4626
_cell_length_b 6.4626
_cell_length_c 6.4626
_cell_angle_alpha 90.00
_cell_angle_beta 90.00
_cell_angle_gamma 90.00
_symmetry_space_group_name_H-M 'F -4 3 m'
_symmetry_Int_Tables_number 216
_symmetry_space_group_name_Hall 'F -4 2 3'
loop_
_atom_site_label
_atom_site_type_symbol
_atom_site_fract_x
_atom_site_fract_y
_atom_site_fract_z
Y1 Y 0.0000 0.0000 0.0000
Y2 Y 0.2500 0.2500 0.2500
Ni1 Ni 0.2500 0.2500 0.7500
B1 B 0.0000 0.0000 0.5000
# - crystal system = cubic
# - spin magnetization (μB per formula unit) = 0.02
# - calculated total energy (eV/atom) = -5.76